A relaxed structure of Li3Co2Si2O8, computed with PBE+U.

Results
As for the density: 3.1 Mg/m³. The space group is P2_1. The size of the total moment is 0.467 μB per atom. For the calculated volume, the calculation gives 11.67 A^3/atom. For the energy above the most stable polymorph in this dataset, the calculation gives 19.0 meV/atom.

```
Li3Co2Si2O8
1.0
-4.299 -9.775 2.898
2.341 -2.236 -4.069
4.922 -1.161 3.387
Li Co Si O
6 4 4 16
Direct
0.166 0.448 0.243
0.666 0.552 0.757
0.829 0.042 0.756
0.330 0.943 0.762
0.329 0.958 0.244
0.830 0.057 0.238
0.422 0.558 0.506
0.922 0.442 0.494
0.578 0.925 0.025
0.078 0.075 0.975
0.085 0.942 0.487
0.585 0.058 0.513
0.421 0.433 0.003
0.921 0.567 0.997
0.160 0.048 0.270
0.663 0.003 0.294
0.063 0.629 0.459
0.447 0.925 0.498
0.947 0.075 0.502
0.563 0.371 0.541
0.163 0.997 0.706
0.660 0.952 0.730
0.844 0.468 0.773
0.349 0.543 0.781
0.557 0.550 0.009
0.057 0.450 0.991
0.418 0.116 0.002
0.918 0.884 0.998
0.344 0.532 0.227
0.849 0.457 0.219
```